{"formula": "AcLuAgGe", "functional": "GGA-PBE", "state": "optimized geometry", "space_group": "F-43m", "delta_e_f_ev_per_fu": -1.59, "cell": [[0.000, 3.747, 3.747], [3.747, 0.000, 3.747], [3.747, 3.747, 0.000]], "species": ["Ac", "Lu", "Ag", "Ge"], "frac_coords": [[0.000, 0.000, 0.000], [0.500, 0.500, 0.500], [0.750, 0.750, 0.750], [0.250, 0.250, 0.250]]}

{"formula": "InTe2W", "functional": "GGA-PBE", "state": "optimized geometry", "raw_formation_energy_ev_per_atom": 0.822, "space_group": "P4/mmm", "cell": [[5.202, 0.000, 0.000], [0.000, 5.202, 0.000], [0.000, 0.000, 3.462]], "species": ["In", "Te", "Te", "W"], "frac_coords": [[0.000, 0.000, 0.000], [0.000, 0.500, 0.500], [0.500, 0.000, 0.500], [0.500, 0.500, 0.000]]}

{"formula": "CrHg2Pb", "functional": "GGA-PBE", "state": "optimized geometry", "space_group": "Pm", "delta_e_f_ev_per_fu": 1.43, "cell": [[3.569, 0.000, 0.000], [0.000, 4.675, 0.000], [-1.556, 0.000, 5.778]], "species": ["Cr", "Hg", "Hg", "Pb"], "frac_coords": [[0.000, 0.000, 0.000], [0.133, 0.500, 0.298], [0.725, 0.000, 0.479], [0.431, 0.500, 0.833]]}

In order of appearance, spin magnetization = 0.032, 0.481, 1.023 μB per atom.